1.
Compound: LaPr7Er2
Source: Alexandria via LeMat-Bulk
Functional: PBE
Structure: relaxed

Output
E_form in meV/atom: 19.3

The structure in CIF format:
```
data_LaPr7Er2
_cell_length_a 6.3566
_cell_length_b 6.3895
_cell_length_c 9.7283
_cell_angle_alpha 108.99
_cell_angle_beta 102.65
_cell_angle_gamma 99.67
_space_group_name_H-M_alt 'P 1'
_space_group_IT_number 1
loop_
_space_group_symop_operation_xyz
'x,y,z'
loop_
_atom_site_label
_atom_site_type_symbol
_atom_site_fract_x
_atom_site_fract_y
_atom_site_fract_z
_atom_site_occupancy
La1 La 0.0000 0.0000 0.0000 1
Pr1 Pr 0.0025 0.6014 0.2057 1
Pr2 Pr 0.4963 0.1995 0.8980 1
Pr3 Pr 0.4956 0.6013 0.6967 1
Pr4 Pr 0.5000 0.0000 0.5000 1
Pr5 Pr 0.5044 0.3987 0.3033 1
Pr6 Pr 0.5037 0.8005 0.1020 1
Pr7 Pr 0.9975 0.3986 0.7943 1
Er1 Er 0.0015 0.2008 0.4035 1
Er2 Er 0.9985 0.7992 0.5965 1
```



2.
Compound: Sc6InS8
Source: Alexandria via LeMat-Bulk
Functional: PBE
Structure: relaxed

Output
E_form (uncorrected) in eV/atom: -1.62

The structure in CIF format:
```
data_Sc6InS8
_cell_length_a 7.2514
_cell_length_b 7.2514
_cell_length_c 7.2514
_cell_angle_alpha 92.66
_cell_angle_beta 92.66
_cell_angle_gamma 92.66
_space_group_name_H-M_alt 'P 1'
_space_group_IT_number 1
loop_
_space_group_symop_operation_xyz
'x,y,z'
loop_
_atom_site_label
_atom_site_type_symbol
_atom_site_fract_x
_atom_site_fract_y
_atom_site_fract_z
_atom_site_occupancy
Sc1 Sc 0.1947 0.3835 0.5679 1
Sc2 Sc 0.3835 0.5679 0.1947 1
Sc3 Sc 0.4321 0.8053 0.6165 1
Sc4 Sc 0.5679 0.1947 0.3835 1
Sc5 Sc 0.6165 0.4321 0.8053 1
Sc6 Sc 0.8053 0.6165 0.4321 1
In1 In 0.0000 0.0000 0.0000 1
S1 S 0.1438 0.6979 0.4082 1
S2 S 0.2506 0.2506 0.2506 1
S3 S 0.3021 0.5918 0.8562 1
S4 S 0.4082 0.1438 0.6979 1
S5 S 0.5918 0.8562 0.3021 1
S6 S 0.6979 0.4082 0.1438 1
S7 S 0.7494 0.7494 0.7494 1
S8 S 0.8562 0.3021 0.5918 1
```



3.
Compound: Li7Cd4Pb
Source: Alexandria via LeMat-Bulk
Functional: PBE
Structure: relaxed

Output
E_form in meV/atom: -226.0

The structure in CIF format:
```
data_Li7Cd4Pb
_cell_length_a 4.7475
_cell_length_b 4.7475
_cell_length_c 11.6293
_cell_angle_alpha 90.00
_cell_angle_beta 90.00
_cell_angle_gamma 120.00
_space_group_name_H-M_alt 'P 1'
_space_group_IT_number 1
loop_
_space_group_symop_operation_xyz
'x,y,z'
loop_
_atom_site_label
_atom_site_type_symbol
_atom_site_fract_x
_atom_site_fract_y
_atom_site_fract_z
_atom_site_occupancy
Li1 Li 0.0000 0.0000 0.0000 1
Li2 Li 0.0000 0.0000 0.2496 1
Li3 Li 0.0000 0.0000 0.7504 1
Li4 Li 0.3333 0.6667 0.1675 1
Li5 Li 0.3333 0.6667 0.4226 1
Li6 Li 0.6667 0.3333 0.5774 1
Li7 Li 0.6667 0.3333 0.8325 1
Cd1 Cd 0.3333 0.6667 0.6781 1
Cd2 Cd 0.3333 0.6667 0.9273 1
Cd3 Cd 0.6667 0.3333 0.0727 1
Cd4 Cd 0.6667 0.3333 0.3219 1
Pb1 Pb 0.0000 0.0000 0.5000 1
```



4.
Compound: K3ZnFe
Source: Alexandria via LeMat-Bulk
Functional: PBE
Structure: relaxed

Output
E_form in meV/atom: 915.6

The structure in CIF format:
```
data_K3ZnFe
_cell_length_a 6.3790
_cell_length_b 6.3790
_cell_length_c 6.3790
_cell_angle_alpha 90.00
_cell_angle_beta 90.00
_cell_angle_gamma 90.00
_space_group_name_H-M_alt 'P 1'
_space_group_IT_number 1
loop_
_space_group_symop_operation_xyz
'x,y,z'
loop_
_atom_site_label
_atom_site_type_symbol
_atom_site_fract_x
_atom_site_fract_y
_atom_site_fract_z
_atom_site_occupancy
K1 K 0.0000 0.0000 0.5000 1
K2 K 0.0000 0.5000 0.0000 1
K3 K 0.5000 0.0000 0.0000 1
Zn1 Zn 0.0000 0.0000 0.0000 1
Fe1 Fe 0.5000 0.5000 0.5000 1
```



5.
Compound: Ba2ScZnTe5
Source: Alexandria via LeMat-Bulk
Functional: PBE
Structure: relaxed

Output
E_form (uncorrected) in eV/atom: -1.18

The structure in CIF format:
```
data_Ba2ScZnTe5
_cell_length_a 10.4405
_cell_length_b 10.4405
_cell_length_c 13.8120
_cell_angle_alpha 90.00
_cell_angle_beta 90.00
_cell_angle_gamma 155.29
_space_group_name_H-M_alt 'P 1'
_space_group_IT_number 1
loop_
_space_group_symop_operation_xyz
'x,y,z'
loop_
_atom_site_label
_atom_site_type_symbol
_atom_site_fract_x
_atom_site_fract_y
_atom_site_fract_z
_atom_site_occupancy
Ba1 Ba 0.1216 0.8784 0.5000 1
Ba2 Ba 0.1248 0.8752 0.1223 1
Ba3 Ba 0.8752 0.1248 0.6223 1
Ba4 Ba 0.8784 0.1216 0.0000 1
Sc1 Sc 0.2054 0.7946 0.8225 1
Sc2 Sc 0.7946 0.2054 0.3225 1
Zn1 Zn 0.4324 0.5676 0.2399 1
Zn2 Zn 0.5676 0.4324 0.7399 1
Te1 Te 0.0595 0.9405 0.8480 1
Te2 Te 0.2955 0.7045 0.4630 1
Te3 Te 0.3020 0.6980 0.1771 1
Te4 Te 0.3470 0.6530 0.8136 1
Te5 Te 0.4983 0.5017 0.0771 1
Te6 Te 0.5017 0.4983 0.5771 1
Te7 Te 0.6530 0.3470 0.3136 1
Te8 Te 0.6980 0.3020 0.6771 1
Te9 Te 0.7045 0.2955 0.9630 1
Te10 Te 0.9405 0.0595 0.3480 1
```



6.
Compound: Li8Pt
Source: Alexandria via LeMat-Bulk
Functional: PBE
Structure: relaxed

Output
E_form in meV/atom: -185.7

The structure in CIF format:
```
data_Li8Pt
_cell_length_a 6.4041
_cell_length_b 6.4041
_cell_length_c 6.4041
_cell_angle_alpha 96.00
_cell_angle_beta 96.00
_cell_angle_gamma 142.26
_space_group_name_H-M_alt 'P 1'
_space_group_IT_number 1
loop_
_space_group_symop_operation_xyz
'x,y,z'
loop_
_atom_site_label
_atom_site_type_symbol
_atom_site_fract_x
_atom_site_fract_y
_atom_site_fract_z
_atom_site_occupancy
Li1 Li 0.0000 0.3139 0.3139 1
Li2 Li 0.0000 0.6861 0.6861 1
Li3 Li 0.3139 0.0000 0.3139 1
Li4 Li 0.3481 0.3481 0.6963 1
Li5 Li 0.3481 0.6519 0.0000 1
Li6 Li 0.6519 0.3481 0.0000 1
Li7 Li 0.6519 0.6519 0.3037 1
Li8 Li 0.6861 0.0000 0.6861 1
Pt1 Pt 0.0000 0.0000 0.0000 1
```



7.
Compound: ScVHg
Source: Alexandria via LeMat-Bulk
Functional: PBE
Structure: relaxed

Output
E_form in meV/atom: 126.1

The structure in CIF format:
```
data_ScVHg
_cell_length_a 13.7004
_cell_length_b 13.7004
_cell_length_c 13.7004
_cell_angle_alpha 13.40
_cell_angle_beta 13.40
_cell_angle_gamma 13.40
_space_group_name_H-M_alt 'P 1'
_space_group_IT_number 1
loop_
_space_group_symop_operation_xyz
'x,y,z'
loop_
_atom_site_label
_atom_site_type_symbol
_atom_site_fract_x
_atom_site_fract_y
_atom_site_fract_z
_atom_site_occupancy
Sc1 Sc 0.0929 0.0929 0.0929 1
Sc2 Sc 0.9071 0.9071 0.9071 1
V1 V 0.1864 0.1864 0.1864 1
V2 V 0.8136 0.8136 0.8136 1
Hg1 Hg 0.3011 0.3011 0.3011 1
Hg2 Hg 0.6989 0.6989 0.6989 1
```



8.
Compound: Sc12NiSn6
Source: Alexandria via LeMat-Bulk
Functional: PBE
Structure: relaxed

Output
E_form in meV/atom: -314.5

The structure in CIF format:
```
data_Sc12NiSn6
_cell_length_a 8.0636
_cell_length_b 8.0636
_cell_length_c 8.0636
_cell_angle_alpha 99.64
_cell_angle_beta 99.64
_cell_angle_gamma 99.64
_space_group_name_H-M_alt 'P 1'
_space_group_IT_number 1
loop_
_space_group_symop_operation_xyz
'x,y,z'
loop_
_atom_site_label
_atom_site_type_symbol
_atom_site_fract_x
_atom_site_fract_y
_atom_site_fract_z
_atom_site_occupancy
Sc1 Sc 0.0060 0.6902 0.9481 1
Sc2 Sc 0.0519 0.9940 0.3098 1
Sc3 Sc 0.2045 0.4193 0.5483 1
Sc4 Sc 0.3098 0.0519 0.9940 1
Sc5 Sc 0.4193 0.5483 0.2045 1
Sc6 Sc 0.4517 0.7955 0.5807 1
Sc7 Sc 0.5483 0.2045 0.4193 1
Sc8 Sc 0.5807 0.4517 0.7955 1
Sc9 Sc 0.6902 0.9481 0.0060 1
Sc10 Sc 0.7955 0.5807 0.4517 1
Sc11 Sc 0.9481 0.0060 0.6902 1
Sc12 Sc 0.9940 0.3098 0.0519 1
Ni1 Ni 0.0000 0.0000 0.0000 1
Sn1 Sn 0.1173 0.6461 0.3158 1
Sn2 Sn 0.3158 0.1173 0.6461 1
Sn3 Sn 0.3539 0.6842 0.8827 1
Sn4 Sn 0.6461 0.3158 0.1173 1
Sn5 Sn 0.6842 0.8827 0.3539 1
Sn6 Sn 0.8827 0.3539 0.6842 1
```



9.
Compound: PmPrAuI
Source: Alexandria via LeMat-Bulk
Functional: PBE
Structure: relaxed

Output
E_form (uncorrected) in eV/atom: -0.63

The structure in CIF format:
```
data_PmPrAuI
_cell_length_a 5.4044
_cell_length_b 5.4044
_cell_length_c 5.4044
_cell_angle_alpha 60.00
_cell_angle_beta 60.00
_cell_angle_gamma 60.00
_space_group_name_H-M_alt 'P 1'
_space_group_IT_number 1
loop_
_space_group_symop_operation_xyz
'x,y,z'
loop_
_atom_site_label
_atom_site_type_symbol
_atom_site_fract_x
_atom_site_fract_y
_atom_site_fract_z
_atom_site_occupancy
Pm1 Pm 0.0000 0.0000 0.0000 1
Pr1 Pr 0.5000 0.5000 0.5000 1
Au1 Au 0.2500 0.2500 0.2500 1
I1 I 0.7500 0.7500 0.7500 1
```



10.
Compound: MnV2As4
Source: Alexandria via LeMat-Bulk
Functional: PBE
Structure: relaxed

Output
E_form in meV/atom: 295.3

The structure in CIF format:
```
data_MnV2As4
_cell_length_a 7.0084
_cell_length_b 7.0084
_cell_length_c 7.0084
_cell_angle_alpha 140.72
_cell_angle_beta 140.72
_cell_angle_gamma 56.76
_space_group_name_H-M_alt 'P 1'
_space_group_IT_number 1
loop_
_space_group_symop_operation_xyz
'x,y,z'
loop_
_atom_site_label
_atom_site_type_symbol
_atom_site_fract_x
_atom_site_fract_y
_atom_site_fract_z
_atom_site_occupancy
Mn1 Mn 0.0000 0.0000 0.0000 1
V1 V 0.3938 0.3938 0.0000 1
V2 V 0.6062 0.6062 0.0000 1
As1 As 0.0000 0.5000 0.5000 1
As2 As 0.2002 0.2002 0.0000 1
As3 As 0.5000 0.0000 0.5000 1
As4 As 0.7998 0.7998 0.0000 1
```



11.
Compound: BeZnMo2
Source: Alexandria via LeMat-Bulk
Functional: PBE
Structure: relaxed

Output
E_form in meV/atom: 95.3

The structure in CIF format:
```
data_BeZnMo2
_cell_length_a 2.6862
_cell_length_b 2.6862
_cell_length_c 7.6166
_cell_angle_alpha 90.00
_cell_angle_beta 90.00
_cell_angle_gamma 97.85
_space_group_name_H-M_alt 'P 1'
_space_group_IT_number 1
loop_
_space_group_symop_operation_xyz
'x,y,z'
loop_
_atom_site_label
_atom_site_type_symbol
_atom_site_fract_x
_atom_site_fract_y
_atom_site_fract_z
_atom_site_occupancy
Be1 Be 0.0000 0.0000 0.0000 1
Zn1 Zn 0.0000 0.0000 0.5000 1
Mo1 Mo 0.5000 0.5000 0.2206 1
Mo2 Mo 0.5000 0.5000 0.7794 1
```